Density functional theory data (PBE with a Hubbard U) for a geometry-optimized Tl3V2Cl3F4 structure.

Cell: 4.2112 5.0849 12.6946 Å, 101.55 99.55 90.00°
Site moments in Bohr magnetons follow the coordinates.
Fractional coordinates of all 12 atoms:
F: 0.3935 0.8906 0.7811  0.02
F: 0.6124 0.1094 0.2189  0.02
F: 0.1969 0.1930 0.3860  0.01
F: 0.8110 0.8070 0.6140  0.01
Tl: 0.3031 0.3027 0.6054  0.00
Tl: 0.5021 0.5000 0.0000  0.00
Tl: 0.6977 0.6973 0.3946  0.00
Cl: 0.8981 0.3967 0.7935  -0.01
Cl: 0.1046 0.6033 0.2065  -0.01
Cl: 0.0025 0.0000 0.0000  -0.01
V: 0.8946 0.8916 0.7832  2.72
V: 0.1114 0.1084 0.2168  2.72

- E_tot: -55.6 eV for the cell shown